Entry 1:
Compound: KLiVRe2
Source: Alexandria via LeMat-Bulk
Functional: PBE-GGA
Structure: relaxed

Properties
DOS at the Fermi energy, states/eV/cell: 4.33
Formation energy, kJ per mole of atoms: 260.3
DFT total energy, eV/atom: -4.7079

CIF file:
```
data_KLiVRe2
_symmetry_space_group_name_H-M 'P 1'
_symmetry_Int_Tables_number 1
_cell_length_a 4.715
_cell_length_b 3.629
_cell_length_c 4.715
_cell_angle_alpha 90.00
_cell_angle_beta 90.00
_cell_angle_gamma 90.00
loop_
_symmetry_equiv_pos_as_xyz
'x,y,z'
loop_
_atom_site_label
_atom_site_fract_x
_atom_site_fract_y
_atom_site_fract_z
_atom_site_occupancy
V1 0.500 0.500 0.500 1
Re1 0.500 0.000 0.000 1
Re2 0.000 0.000 0.500 1
K1 0.000 0.000 0.000 1
Li1 0.000 0.500 0.000 1
```

Entry 2:
Compound: Cd2Ru
Source: Alexandria via LeMat-Bulk
Functional: PBE-GGA
Structure: relaxed

Properties
DOS at the Fermi energy, states/eV/cell: 3.84
Formation energy, kJ per mole of atoms: 34.6
DFT total energy, eV/atom: -3.3430

CIF file:
```
data_Cd2Ru
_symmetry_space_group_name_H-M 'P 1'
_symmetry_Int_Tables_number 1
_cell_length_a 4.718
_cell_length_b 4.718
_cell_length_c 5.662
_cell_angle_alpha 90.00
_cell_angle_beta 90.00
_cell_angle_gamma 120.00
loop_
_symmetry_equiv_pos_as_xyz
'x,y,z'
loop_
_atom_site_label
_atom_site_fract_x
_atom_site_fract_y
_atom_site_fract_z
_atom_site_occupancy
Cd1 0.000 0.000 0.000 1
Cd2 0.333 0.667 0.250 1
Ru1 0.333 0.667 0.750 1
Cd3 0.667 0.333 0.750 1
Ru2 0.667 0.333 0.250 1
Cd4 0.000 0.000 0.500 1
```

Entry 3:
Compound: Sr3Te
Source: Alexandria via LeMat-Bulk
Functional: PBE-GGA
Structure: relaxed

Properties
DOS at the Fermi energy, states/eV/cell: 5.09
DFT total energy, eV/atom: -2.5248
E_form (uncorrected), meV/atom: -478

CIF file:
```
data_Sr3Te
_symmetry_space_group_name_H-M 'P 1'
_symmetry_Int_Tables_number 1
_cell_length_a 5.822
_cell_length_b 5.822
_cell_length_c 4.883
_cell_angle_alpha 90.00
_cell_angle_beta 90.00
_cell_angle_gamma 90.00
loop_
_symmetry_equiv_pos_as_xyz
'x,y,z'
loop_
_atom_site_label
_atom_site_fract_x
_atom_site_fract_y
_atom_site_fract_z
_atom_site_occupancy
Te1 0.000 0.500 0.500 1
Sr1 0.500 0.000 0.500 1
Sr2 0.000 0.000 0.000 1
Sr3 0.500 0.500 0.000 1
```

Entry 4:
Compound: Cd2AsP2
Source: Alexandria via LeMat-Bulk
Functional: PBE-GGA
Structure: relaxed

Properties
DOS at the Fermi energy, states/eV/cell: 2.46
Formation energy, kJ per mole of atoms: 32.2
DFT total energy, eV/atom: -3.1262

CIF file:
```
data_Cd2AsP2
_symmetry_space_group_name_H-M 'P 1'
_symmetry_Int_Tables_number 1
_cell_length_a 5.338
_cell_length_b 5.338
_cell_length_c 5.272
_cell_angle_alpha 59.58
_cell_angle_beta 59.58
_cell_angle_gamma 90.00
loop_
_symmetry_equiv_pos_as_xyz
'x,y,z'
loop_
_atom_site_label
_atom_site_fract_x
_atom_site_fract_y
_atom_site_fract_z
_atom_site_occupancy
Cd1 0.750 0.250 0.500 1
P1 0.653 0.653 0.694 1
As1 0.000 0.000 0.000 1
P2 0.347 0.347 0.306 1
Cd2 0.250 0.750 0.500 1
```